1.
! LiSbOs (PBE, relaxed); values from VASP
&SYSTEM
  ibrav = 0, nat = 3, ntyp = 3
/
ATOMIC_SPECIES
Li 6.94 Li.upf
Sb 121.76 Sb.upf
Os 190.23 Os.upf
CELL_PARAMETERS angstrom
4.4634 0.0000 0.0000
-2.2317 3.8654 0.0000
0.0000 0.0000 3.0831
ATOMIC_POSITIONS crystal
Li 0.0000 0.0000 0.0000
Sb 0.3333 0.6667 0.5000
Os 0.6667 0.3333 0.5000
! E_tot: -5.506 eV/atom
! DOS(E_F): 2.86 states/eV/cell
! calculated density: 9.957 Mg/m³
! total magnetization: 0.19 μB per formula unit
! formation energy from raw total energies: 0.25 eV/atom
! V: 17.7 Å³/atom
! symmetry: No. 187



2.
! LiSb2Os (PBE, relaxed); values from VASP
&SYSTEM
  ibrav = 0, nat = 4, ntyp = 3
/
ATOMIC_SPECIES
Li 6.94 Li.upf
Sb 121.76 Sb.upf
Os 190.23 Os.upf
CELL_PARAMETERS angstrom
0.0000 3.3763 3.3763
3.3763 0.0000 3.3763
3.3763 3.3763 0.0000
ATOMIC_POSITIONS crystal
Li 0.0000 0.0000 0.0000
Sb 0.5000 0.5000 0.5000
Sb 0.7500 0.7500 0.7500
Os 0.2500 0.2500 0.2500
! E_tot: -4.798 eV/atom
! DOS(E_F): 3.61 states/eV/cell
! calculated density: 9.507 Mg/m³
! distance to the lowest polymorph of the same formula: 535 meV/atom
! total magnetization: 0.00 μB per formula unit
! formation energy from raw total energies: 0.55 eV/atom
! V: 19.2 Å³/atom
! symmetry: No. 216



3.
! LiSbOs2 (PBE, relaxed); values from VASP
&SYSTEM
  ibrav = 0, nat = 4, ntyp = 3
/
ATOMIC_SPECIES
Li 6.94 Li.upf
Sb 121.76 Sb.upf
Os 190.23 Os.upf
CELL_PARAMETERS angstrom
3.1351 0.0000 0.0000
0.0000 4.4766 0.0000
0.0000 0.0000 4.4785
ATOMIC_POSITIONS crystal
Li 0.0000 0.0000 0.0000
Sb 0.5000 0.0000 0.5000
Os 0.0000 0.5000 0.5000
Os 0.5000 0.5000 0.0000
! E_tot: -6.561 eV/atom
! DOS(E_F): 4.57 states/eV/cell
! calculated density: 13.452 Mg/m³
! total magnetization: 0.34 μB per formula unit
! formation energy from raw total energies: 0.56 eV/atom
! V: 15.7 Å³/atom
! symmetry: No. 47



- E_tot of number 3 (LiSbOs2)?
  -6.561 eV/atom



- Among the records above, which one has the lowest calculated density?
  LiSb2Os